# AgSbPbS3, PBEsol geometry, DFT meta-GGA SCAN
# Energy relative to the lowest polymorph listed for this composition, eV per formula unit: 0.000
# Formation energy (no corrections), kJ/mol of atoms: -27.5
# Crystal system: monoclinic
data_AgSbPbS3
_cell_length_a 5.640
_cell_length_b 12.011
_cell_length_c 7.979
_cell_angle_alpha 90.00
_cell_angle_beta 90.19
_cell_angle_gamma 90.00
_symmetry_space_group_name_H-M 'P 1 21/c 1'
_symmetry_Int_Tables_number 14
_symmetry_space_group_name_Hall '-P 2ybc'
loop_
_atom_site_label
_atom_site_type_symbol
_atom_site_fract_x
_atom_site_fract_y
_atom_site_fract_z
Ag1 Ag 0.233 0.077 0.130
Sb1 Sb 0.255 0.744 0.127
Pb1 Pb 0.258 0.081 0.656
S1 S 0.241 0.594 0.897
S2 S 0.246 0.589 0.434
S3 S 0.284 0.219 0.357

# PuAl4, PBEsol geometry, DFT meta-GGA SCAN
# D(E_F), states/eV per atom: 2.02
# Crystal system: orthorhombic
data_PuAl4
_cell_length_a 4.384
_cell_length_b 6.079
_cell_length_c 13.684
_cell_angle_alpha 90.00
_cell_angle_beta 90.00
_cell_angle_gamma 90.00
_symmetry_space_group_name_H-M 'I m m a'
_symmetry_Int_Tables_number 74
_symmetry_space_group_name_Hall '-I 2b 2'
loop_
_atom_site_label
_atom_site_type_symbol
_atom_site_fract_x
_atom_site_fract_y
_atom_site_fract_z
Pu1 Pu 0.000 0.250 0.110
Al1 Al 0.000 0.000 0.500
Al2 Al 0.000 0.017 0.699
Al3 Al 0.000 0.250 0.887

# Ba2ScGe2, PBEsol geometry, DFT meta-GGA SCAN
# D(E_F), states/eV per atom: 0.74
# Crystal system: tetragonal
data_Ba2ScGe2
_cell_length_a 4.489
_cell_length_b 4.489
_cell_length_c 14.204
_cell_angle_alpha 90.00
_cell_angle_beta 90.00
_cell_angle_gamma 90.00
_symmetry_space_group_name_H-M 'I 4/m m m'
_symmetry_Int_Tables_number 139
_symmetry_space_group_name_Hall '-I 4 2'
loop_
_atom_site_label
_atom_site_type_symbol
_atom_site_fract_x
_atom_site_fract_y
_atom_site_fract_z
Ba1 Ba 0.000 0.500 0.250
Sc1 Sc 0.000 0.000 0.000
Ge1 Ge 0.000 0.000 0.417

| no. | final energy (eV per cell) |
| --- | --- |
| 1 | -700.02 |
| 2 | -568.03 |
| 3 | -262.68 |